Material: ScNb2Al2
Method: DFT, GGA-PBEsol
State: relaxed

a b c (Å): 3.3371 7.2908 7.2908
angles (deg): 90.00 90.00 90.00
Atoms (fractional coordinates):
Sc 0.0000 0.0000 0.0000
Sc 0.0000 0.5000 0.5000
Nb 0.5000 0.1735 0.6735
Nb 0.5000 0.6735 0.8265
Nb 0.5000 0.8265 0.3265
Nb 0.5000 0.3265 0.1735
Al 0.0000 0.3771 0.8771
Al 0.0000 0.8771 0.6229
Al 0.0000 0.6229 0.1229
Al 0.0000 0.1229 0.3771

The energy of formation from the pure elements comes out at -245 meV per atom. Its density of states at the Fermi level is 5.1 states/eV/f.u.

=====

Material: TiPd2N2
Method: DFT, GGA-PBEsol
State: relaxed

a b c (Å): 3.7589 3.7589 4.9721
angles (deg): 112.21 112.21 90.00
Atoms (fractional coordinates):
N 0.4244 0.4244 0.8487
N 0.5756 0.5756 0.1513
Pd 0.2500 0.7500 0.5000
Pd 0.7500 0.2500 0.5000
Ti 0.0000 0.0000 0.0000

Its density of states at the Fermi level is 3.8 states/eV/f.u.

=====

Material: GaSi3Sb
Method: DFT, GGA-PBEsol
State: relaxed

a b c (Å): 4.7324 4.7324 4.7324
angles (deg): 90.00 90.00 90.00
Atoms (fractional coordinates):
Sb 0.5000 0.5000 0.5000
Si 0.0000 0.5000 0.0000
Si 0.0000 0.0000 0.5000
Si 0.5000 0.0000 0.0000
Ga 0.0000 0.0000 0.0000

Its density of states at the Fermi level is 2.2 states/eV/f.u.

=====

Material: SnP4O12
Method: DFT, GGA-PBEsol
State: relaxed

a b c (Å): 7.3673 7.3673 9.7630
angles (deg): 100.40 107.46 111.30
Atoms (fractional coordinates):
Sn 0.1955 0.9455 0.2500
Sn 0.8045 0.0545 0.7500
P 0.0356 0.3047 0.3168
P 0.2646 0.7355 0.5265
P 0.7090 0.7381 0.9735
P 0.5120 0.2812 0.8168
P 0.4880 0.7188 0.1832
P 0.2910 0.2619 0.0265
P 0.7354 0.2645 0.4735
P 0.9644 0.6953 0.6832
O 0.9896 0.6525 0.8265
O 0.1084 0.2536 0.8987
O 0.1820 0.7453 0.6574
O 0.1452 0.7903 0.3987
O 0.2092 0.4984 0.4679
O 0.0950 0.1335 0.3455
O 0.4695 0.2587 0.9679
O 0.3260 0.1631 0.6735
O 0.5021 0.8510 0.5961
O 0.5879 0.5246 0.8426
O 0.2880 0.7495 0.1545
O 0.7549 0.9061 0.9039
O 0.2451 0.0939 0.0961
O 0.7120 0.2505 0.8455
O 0.4121 0.4754 0.1574
O 0.4979 0.1490 0.4039
O 0.6740 0.8369 0.3265
O 0.5305 0.7413 0.0321
O 0.9050 0.8665 0.6545
O 0.7908 0.5016 0.5321
O 0.8548 0.2097 0.6013
O 0.8180 0.2547 0.3426
O 0.8916 0.7464 0.1013
O 0.0104 0.3475 0.1735

Its density of states at the Fermi level is 0.0 states/eV/f.u.

=====

Material: Be2GeAu
Method: DFT, GGA-PBEsol
State: relaxed

a b c (Å): 5.3089 5.3089 5.3089
angles (deg): 106.46 106.46 115.67
Atoms (fractional coordinates):
Be 0.6250 0.6275 0.5025
Be 0.1250 0.1225 0.4975
Be 0.8775 0.3750 0.0025
Be 0.3725 0.8750 0.9975
Ge 0.5000 0.5000 0.0000
Ge 0.7500 0.2500 0.5000
Au 0.0000 0.0000 0.0000
Au 0.2500 0.7500 0.5000

The energy of formation from the pure elements comes out at 400 meV per atom. Its density of states at the Fermi level is 1.4 states/eV/f.u.

=====

Material: AgBr3F
Method: DFT, GGA-PBEsol
State: relaxed

a b c (Å): 4.8277 4.8277 4.8277
angles (deg): 90.00 90.00 90.00
Atoms (fractional coordinates):
Br 0.0000 0.5000 0.0000
Br 0.0000 0.0000 0.5000
Br 0.5000 0.0000 0.0000
Ag 0.5000 0.5000 0.5000
F 0.0000 0.0000 0.0000

Its density of states at the Fermi level is 3.9 states/eV/f.u.

=====

Material: CaHf3Ga
Method: DFT, GGA-PBEsol
State: relaxed

a b c (Å): 5.0587 5.0587 5.0587
angles (deg): 90.00 90.00 90.00
Atoms (fractional coordinates):
Ca 0.5000 0.5000 0.5000
Hf 0.0000 0.5000 0.0000
Hf 0.0000 0.0000 0.5000
Hf 0.5000 0.0000 0.0000
Ga 0.0000 0.0000 0.0000

The energy of formation from the pure elements comes out at 566 meV per atom. Its density of states at the Fermi level is 10.5 states/eV/f.u.

=====

Material: LaAgO2
Method: DFT, GGA-PBEsol
State: relaxed

a b c (Å): 3.7936 3.7936 6.4464
angles (deg): 72.89 72.89 60.00
Atoms (fractional coordinates):
Ag 0.0000 0.0000 0.0000
O 0.8892 0.8892 0.3323
O 0.1108 0.1108 0.6677
La 0.5000 0.5000 0.5000

Its density of states at the Fermi level is 0.0 states/eV/f.u.

=====

Material: Zn2GaCuIr
Method: DFT, GGA-PBEsol
State: relaxed

a b c (Å): 4.4449 4.4449 4.5623
angles (deg): 90.00 90.00 90.00
Atoms (fractional coordinates):
Zn 0.0000 0.5000 0.0000
Zn 0.5000 0.0000 0.0000
Ir 0.0000 0.0000 0.5000
Cu 0.5000 0.5000 0.5000
Ga 0.0000 0.0000 0.0000

The energy of formation from the pure elements comes out at 978 meV per atom. Its density of states at the Fermi level is 2.5 states/eV/f.u.

=====

Material: SrCoNi3
Method: DFT, GGA-PBEsol
State: relaxed

a b c (Å): 4.5485 4.5485 4.5485
angles (deg): 90.00 90.00 90.00
Each line ends with the local moment (μB).
Atoms (fractional coordinates):
Sr 0.0000 0.0000 0.0000  -0.03
Co 0.5000 0.5000 0.5000  2.13
Ni 0.0000 0.5000 0.0000  0.14
Ni 0.0000 0.0000 0.5000  0.14
Ni 0.5000 0.0000 0.0000  0.14

The energy of formation from the pure elements comes out at 2245 meV per atom. Its density of states at the Fermi level is 7.3 states/eV/f.u.

=====

Material: ZrPb2Au
Method: DFT, GGA-PBEsol
State: relaxed

a b c (Å): 3.3394 5.1482 6.1590
angles (deg): 114.70 105.73 90.00
Atoms (fractional coordinates):
Au 0.2394 0.7394 0.4788
Pb 0.9814 0.9814 0.9628
Pb 0.7589 0.2589 0.5178
Zr 0.5203 0.5203 0.0406

The energy of formation from the pure elements comes out at -135 meV per atom. Its density of states at the Fermi level is 1.5 states/eV/f.u. As for the energy above the most stable polymorph in this dataset: 0.000 eV/atom.

=====

Material: ReNiRu
Method: DFT, GGA-PBEsol
State: relaxed

a b c (Å): 2.6641 3.7047 4.5189
angles (deg): 114.20 107.14 90.00
Atoms (fractional coordinates):
Re 0.6652 0.6652 0.3303
Ru 0.3346 0.3346 0.6693
Ni 0.0001 0.0001 0.0002

The energy of formation from the pure elements comes out at -6 meV per atom. Its density of states at the Fermi level is 2.9 states/eV/f.u. As for the energy above the most stable polymorph in this dataset: 0.000 eV/atom.

=====

Magnetic moment for every record listed, in sequence, given in μB/f.u.: 0.00; 0.00; 0.00; 0.09; 0.00; 0.00; 0.01; 0.00; 0.00; 2.43; 0.00; 0.00.
Volume for every record listed, in sequence, given in Å³ per atom: 17.74; 11.87; 21.20; 13.10; 14.27; 22.50; 25.89; 18.89; 18.03; 18.82; 22.95; 12.83.
VASP energy for every record listed, in sequence, given in eV/atom: -7.532; -7.021; -4.224; -7.323; -3.815; -1.884; -6.830; -6.975; -3.154; -3.365; -5.387; -9.893.